Compound: La5NdMg4
Source: the Alexandria database
Functional: GGA-PBE
Structure: relaxed

Cell lengths 3.9081, 3.9081, 21.1438 Å; angles 90.00, 90.00, 90.00 degrees
Element x y z (fractional)
Mg  0.0000  0.0000  0.2138
Mg  0.0000  0.0000  0.4048
Mg  0.0000  0.0000  0.5952
Mg  0.0000  0.0000  0.7862
La  0.5000  0.5000  0.5000
La  0.5000  0.5000  0.6900
La  0.5000  0.5000  0.1184
La  0.5000  0.5000  0.8816
La  0.5000  0.5000  0.3100
Nd  0.0000  0.0000  0.0000

Symmetry: P4/mmm, No. 123

***

Compound: La5Nd6Mg
Source: the Alexandria database
Functional: GGA-PBE
Structure: relaxed

Cell lengths 6.3488, 6.3530, 12.1791 Å; angles 84.96, 79.87, 60.02 degrees
Element x y z (fractional)
Nd  0.4112  0.6704  0.7524
Nd  0.5888  0.3296  0.2476
Nd  0.9184  0.6704  0.2476
Nd  0.0816  0.3296  0.7524
Nd  0.7526  0.0000  0.7511
Nd  0.2474  0.0000  0.2489
Mg  0.0000  0.0000  0.0000
La  0.1683  0.6634  0.5000
La  0.5000  0.0000  0.5000
La  0.3326  0.3347  0.0000
La  0.8317  0.3366  0.5000
La  0.6674  0.6653  0.0000

Symmetry: C2/m, No. 12

***

Compound: La3NdMg2
Source: the Alexandria database
Functional: GGA-PBE
Structure: relaxed

Cell lengths 3.8773, 3.8773, 13.2085 Å; angles 90.00, 90.00, 90.00 degrees
Element x y z (fractional)
La  0.0000  0.0000  0.3081
La  0.0000  0.0000  0.0000
La  0.0000  0.0000  0.6919
Mg  0.5000  0.5000  0.8458
Mg  0.5000  0.5000  0.1542
Nd  0.5000  0.5000  0.5000

Symmetry: P4/mmm, No. 123

***

Compound: La2Nd5Mg
Source: the Alexandria database
Functional: GGA-PBE
Structure: relaxed

Cell lengths 7.2457, 7.2463, 7.2900 Å; angles 119.81, 119.80, 90.00 degrees
Element x y z (fractional)
La  0.7220  0.2220  0.4441
La  0.2221  0.7222  0.4442
Nd  0.2221  0.7220  0.9441
Nd  0.7220  0.2222  0.9442
Nd  0.7220  0.7220  0.9441
Nd  0.7222  0.7222  0.4443
Nd  0.2222  0.2222  0.9442
Mg  0.2223  0.2223  0.4447

Symmetry: I4/mmm, No. 139

***

| no. | VASP energy (eV per atom) |
| --- | --- |
| 1 | -3.6610 |
| 2 | -4.5591 |
| 3 | -3.8511 |
| 4 | -4.4180 |